MgTiZn2Pt | GGA-PBE | optimized geometry

DFT formation energy	0.473	eV per atom
crystal system	tetragonal
energy	-0.115	hartree per atom
total magnetization	0.16	μB/atom

The structure in CIF format:
```
data_MgTiZn2Pt
_cell_length_a 4.897
_cell_length_b 4.897
_cell_length_c 4.701
_cell_angle_alpha 90.00
_cell_angle_beta 90.00
_cell_angle_gamma 90.00
_symmetry_space_group_name_H-M 'P 1'
_symmetry_Int_Tables_number 1
_symmetry_space_group_name_Hall 'P 1'
loop_
_atom_site_label
_atom_site_fract_x
_atom_site_fract_y
_atom_site_fract_z
Mg1 0.000 0.000 0.000
Ti1 0.500 0.500 0.500
Zn1 0.000 0.500 0.500
Zn2 0.500 0.000 0.500
Pt1 0.500 0.500 0.000
```